Compound: Mn2SiN
Source: Alexandria via LeMat-Bulk
Functional: PBE-GGA
Structure: optimized geometry

```
Mn2SiN
1.0
1.2506 -3.5379 0.9870
1.6235 -0.5842 3.4752
-1.8894 -2.0407 2.7056
Mn Si N
2 1 1
direct
0.2500 0.2500 0.2500
0.7500 0.7500 0.7500
0.5000 0.5000 0.5000
0.0000 0.0000 0.0000
```

Properties
- space group = Fm-3m, No. 225
- relative energy among the computed polymorphs (eV/f.u.) = 3.52
- uncorrected formation energy (eV per formula unit) = 2.464


Compound: Rb3Nd3ZrSe8
Source: Alexandria via LeMat-Bulk
Functional: PBE-GGA
Structure: optimized geometry

```
Rb3Nd3ZrSe8
1.0
8.5105 0.0000 0.0000
-4.2552 7.3707 -0.0333
0.0000 -4.8812 8.2005
Se Nd Zr Rb
8 3 1 3
direct
0.7340 0.4680 0.7019
0.2184 0.9719 0.6901
0.2184 0.4368 0.6901
0.7816 0.5632 0.3099
0.2464 0.0281 0.3099
0.7816 0.0281 0.3099
0.7536 0.9719 0.6901
0.2660 0.5320 0.2981
0.5000 0.5000 0.5000
0.5000 0.0000 0.5000
0.0000 0.5000 0.5000
0.0000 0.0000 0.5000
0.5000 0.5000 0.0000
0.0000 0.0000 0.0000
0.0000 0.5000 0.0000
```

Properties
- space group = R-3m, No. 166
- uncorrected formation energy (eV per formula unit) = -24.762


Compound: Zr2Co15Ni2
Source: Alexandria via LeMat-Bulk
Functional: PBE-GGA
Structure: optimized geometry

```
Zr2Co15Ni2
1.0
6.1792 -0.0352 -0.0313
0.7668 6.1315 -0.0313
0.7668 0.6730 6.0945
Zr Co Ni
2 15 2
direct
0.6591 0.6591 0.6591
0.3409 0.3409 0.3409
0.0000 0.2909 0.7091
0.7091 0.2909 0.0000
0.3526 0.3526 0.8459
0.0000 0.7091 0.2909
0.6474 0.1541 0.6474
0.8459 0.3526 0.3526
0.2909 0.0000 0.7091
0.7091 0.0000 0.2909
0.5000 0.0000 0.0000
0.2909 0.7091 0.0000
0.0000 0.0000 0.5000
0.3526 0.8459 0.3526
0.1541 0.6474 0.6474
0.6474 0.6474 0.1541
0.0000 0.5000 0.0000
0.1043 0.1043 0.1043
0.8957 0.8957 0.8957
```

Properties
- space group = R-3m, No. 166


Compound: Ac4PmSm4
Source: Alexandria via LeMat-Bulk
Functional: PBE-GGA
Structure: optimized geometry

```
Ac4PmSm4
1.0
5.0643 0.0000 1.7151
2.5321 8.0654 0.8575
-0.0550 0.0000 8.4968
Ac Pm Sm
4 1 4
direct
0.6664 0.6672 0.0000
0.3336 0.3328 0.0000
0.3336 0.0000 0.3328
0.6664 0.0000 0.6672
0.0000 0.0000 0.0000
0.0000 0.3399 0.6601
0.6601 0.3399 0.3399
0.0000 0.6601 0.3399
0.3399 0.6601 0.6601
```

Properties
- space group = I4/mmm, No. 139


Compound: MgGa8Ir2
Source: Alexandria via LeMat-Bulk
Functional: PBE-GGA
Structure: optimized geometry

```
MgGa8Ir2
1.0
4.9974 -0.3709 -0.2815
-0.4579 6.6985 0.4611
-0.4579 2.2478 6.3270
Ir Ga Mg
2 8 1
direct
0.6840 0.7746 0.7746
0.3160 0.2254 0.2254
0.5886 0.1688 0.6125
0.8304 0.5696 0.5696
0.5886 0.6125 0.1688
0.4114 0.8312 0.3875
0.8150 0.2185 0.2185
0.4114 0.3875 0.8312
0.1850 0.7815 0.7815
0.1696 0.4304 0.4304
0.0000 0.0000 0.0000
```

Properties
- space group = C2/m, No. 12


Compound: Gd2ScSe
Source: Alexandria via LeMat-Bulk
Functional: PBE-GGA
Structure: optimized geometry

```
Gd2ScSe
1.0
3.7014 0.0000 0.0000
1.8507 3.2055 0.0000
1.8507 1.0685 9.9560
Sc Gd Se
1 2 1
direct
0.0000 0.0000 0.0000
0.1037 0.1037 0.6890
0.8963 0.8963 0.3110
0.5000 0.5000 0.5000
```

Properties
- space group = R-3m, No. 166
- uncorrected formation energy (eV per formula unit) = -1.959


Compound: TbEr2ScBi4
Source: Alexandria via LeMat-Bulk
Functional: PBE-GGA
Structure: optimized geometry

```
TbEr2ScBi4
1.0
-3.5378 -2.3340 -1.2547
4.5614 -4.9890 -3.5808
-1.0731 -2.2612 7.2322
Bi Er Tb Sc
4 2 1 1
direct
0.5000 0.2562 0.2482
0.5000 0.7438 0.7518
0.0000 0.2591 0.7569
0.0000 0.7409 0.2431
0.5000 0.0000 0.5000
0.0000 0.5000 0.5000
0.0000 0.0000 0.0000
0.5000 0.5000 0.0000
```

Properties
- space group = P2/m, No. 10


Compound: AcPm2Er4
Source: Alexandria via LeMat-Bulk
Functional: PBE-GGA
Structure: optimized geometry

```
AcPm2Er4
1.0
-4.6669 0.5406 -5.0798
-0.0721 -6.7613 1.4684
-1.9952 4.8859 4.4747
Er Ac Pm
4 1 2
direct
0.6097 0.3048 0.3048
0.3903 0.6952 0.6952
0.0000 0.3048 0.6952
0.0000 0.6952 0.3048
0.0000 0.0000 0.0000
0.5000 0.2500 0.7500
0.5000 0.7500 0.2500
```

Properties
- space group = I4/mmm, No. 139
- relative energy among the computed polymorphs (eV/f.u.) = 1.20


Compound: Y2ScCd2
Source: Alexandria via LeMat-Bulk
Functional: PBE-GGA
Structure: optimized geometry

```
Y2ScCd2
1.0
8.6552 0.0000 0.0000
0.0000 8.6552 0.0000
0.0000 0.0000 3.6167
Y Cd Sc
4 4 2
direct
0.3527 0.8527 0.0000
0.8527 0.6473 0.0000
0.6473 0.1473 0.0000
0.1473 0.3527 0.0000
0.6521 0.8479 0.5000
0.1521 0.6521 0.5000
0.3479 0.1521 0.5000
0.8479 0.3479 0.5000
0.0000 0.0000 0.0000
0.5000 0.5000 0.0000
```

Properties
- space group = P4/mbm, No. 127
- relative energy among the computed polymorphs (eV/f.u.) = 1.04


Compound: BaAgP2
Source: Alexandria via LeMat-Bulk
Functional: PBE-GGA
Structure: optimized geometry

```
BaAgP2
1.0
3.1759 -3.5062 1.9256
3.5468 1.3663 3.4118
-0.4529 -1.4528 4.8756
Ag Ba P
1 1 2
direct
0.0000 0.0000 0.0000
0.5000 0.5000 0.5000
0.2500 0.2500 0.2500
0.7500 0.7500 0.7500
```

Properties
- space group = Fm-3m, No. 225
- relative energy among the computed polymorphs (eV/f.u.) = 2.36


Compound: LaMgAs2Pd5
Source: Alexandria via LeMat-Bulk
Functional: PBE-GGA
Structure: optimized geometry

```
LaMgAs2Pd5
1.0
4.6140 0.0000 0.0000
0.0000 4.6140 0.0000
0.0000 0.0000 8.0567
Pd As Mg La
5 2 1 1
direct
0.5000 0.0000 0.2572
0.0000 0.5000 0.7428
0.0000 0.5000 0.2572
0.5000 0.5000 0.5000
0.5000 0.0000 0.7428
0.5000 0.5000 0.8445
0.5000 0.5000 0.1555
0.0000 0.0000 0.0000
0.0000 0.0000 0.5000
```

Properties
- space group = P4/mmm, No. 123


Compound: Nb3ReGe
Source: Alexandria via LeMat-Bulk
Functional: PBE-GGA
Structure: optimized geometry

```
Nb3ReGe
1.0
-4.6799 -0.6455 -1.1405
0.1034 -4.3982 2.0650
-1.3064 1.9643 4.2490
Ge Nb Re
1 3 1
direct
0.5000 0.5000 0.5000
0.0000 0.5000 0.0000
0.5000 0.0000 0.0000
0.0000 0.0000 0.5000
0.0000 0.0000 0.0000
```

Properties
- space group = Pm-3m, No. 221
- relative energy among the computed polymorphs (eV/f.u.) = 0.00


Compound: BaMgAlAu3
Source: Alexandria via LeMat-Bulk
Functional: PBE-GGA
Structure: optimized geometry

```
BaMgAlAu3
1.0
-1.4952 0.8029 6.7674
-5.6237 -3.5197 -0.8250
6.1636 -3.9274 1.8278
Au Al Ba Mg
6 2 2 2
direct
0.7500 0.7994 0.5989
0.0000 0.7219 0.0000
0.2500 0.2006 0.4011
0.5000 0.2781 0.0000
0.0000 0.2781 0.0000
0.5000 0.7219 0.0000
0.2500 0.0115 0.0230
0.7500 0.9885 0.9770
0.2500 0.7213 0.4426
0.7500 0.2787 0.5574
0.7500 0.6052 0.2103
0.2500 0.3948 0.7897
```

Properties
- space group = Cmcm, No. 63


Compound: Dy3HoCd4
Source: Alexandria via LeMat-Bulk
Functional: PBE-GGA
Structure: optimized geometry

```
Dy3HoCd4
1.0
5.2713 0.0000 0.0000
0.0000 7.5315 0.0000
0.0000 0.0000 10.5388
Cd Ho Dy
8 2 6
direct
0.5000 0.7491 0.0000
0.5000 0.2509 0.5000
0.0001 0.2509 0.7500
0.5000 0.2509 0.0000
0.9999 0.7491 0.2500
0.9999 0.2509 0.2500
0.5000 0.7491 0.5000
0.0001 0.7491 0.7500
0.0000 0.5000 0.0000
0.0000 0.5000 0.5000
0.0000 0.0000 0.5000
0.5001 0.5000 0.7500
0.0000 0.0000 0.0000
0.4999 0.5000 0.2500
0.5001 0.0000 0.7500
0.4999 0.0000 0.2500
```

Properties
- space group = P4/mmm, No. 123


Compound: Sm6NbSn10
Source: Alexandria via LeMat-Bulk
Functional: PBE-GGA
Structure: optimized geometry

```
Sm6NbSn10
1.0
6.2365 0.0000 0.0000
0.0000 8.0382 -4.6409
0.0000 0.0000 9.2818
Sn Sm Nb
10 6 1
direct
0.2074 0.0000 0.7669
0.7926 0.0000 0.2331
0.7926 0.2331 0.0000
0.0000 0.6667 0.3333
0.0000 0.3333 0.6667
0.2074 0.7669 0.0000
0.5000 0.3333 0.6667
0.5000 0.6667 0.3333
0.7926 0.7669 0.7669
0.2074 0.2331 0.2331
0.7414 0.0000 0.6118
0.7414 0.6118 0.0000
0.7414 0.3882 0.3882
0.2586 0.3882 0.0000
0.2586 0.6118 0.6118
0.2586 0.0000 0.3882
0.5000 0.0000 0.0000
```

Properties
- space group = P-31m, No. 162


Compound: CaTlTc
Source: Alexandria via LeMat-Bulk
Functional: PBE-GGA
Structure: optimized geometry

```
CaTlTc
1.0
-3.4253 -3.1425 -1.8097
2.0408 -0.8414 4.4733
-2.2256 1.6612 1.3278
Tc Tl Ca
1 1 1
direct
0.3333 0.6667 0.4967
0.6667 0.3333 0.5028
0.0000 0.0000 0.0005
```

Properties
- space group = P3m1, No. 156
- relative energy among the computed polymorphs (eV/f.u.) = 0.14


Compound: LaPr4Nd7
Source: Alexandria via LeMat-Bulk
Functional: PBE-GGA
Structure: optimized geometry

```
LaPr4Nd7
1.0
-5.3883 2.3388 1.9004
-1.8407 -4.8785 10.8132
0.2796 5.8745 3.5913
Nd Pr La
7 4 1
direct
0.7902 0.9214 0.4981
0.3691 0.5007 0.7611
0.9386 0.3276 0.7953
0.0614 0.6724 0.2047
0.6309 0.4993 0.2389
0.5000 0.0000 0.0000
0.2098 0.0786 0.5019
0.7559 0.6790 0.8092
0.2441 0.3210 0.1908
0.3650 0.7763 0.4937
0.6350 0.2237 0.5063
0.0000 0.0000 0.0000
```

Properties
- space group = C2/m, No. 12
- relative energy among the computed polymorphs (eV/f.u.) = 2.40


Compound: ThGaPt4
Source: Alexandria via LeMat-Bulk
Functional: PBE-GGA
Structure: optimized geometry

```
ThGaPt4
1.0
5.4164 0.0000 0.0000
2.7082 4.6907 0.0000
2.7082 1.5636 4.4225
Pt Th Ga
4 1 1
direct
0.1230 0.6257 0.6257
0.6257 0.6257 0.6257
0.6257 0.1230 0.6257
0.6257 0.6257 0.1230
0.2500 0.2500 0.2500
0.0000 0.0000 0.0000
```

Properties
- space group = F-43m, No. 216
- relative energy among the computed polymorphs (eV/f.u.) = 0.30


Compound: NiH3
Source: Alexandria via LeMat-Bulk
Functional: PBE-GGA
Structure: optimized geometry

```
NiH3
1.0
2.9592 -5.1254 0.0000
2.9592 5.1254 0.0000
0.0000 0.0000 2.3015
Ni H
2 6
direct
0.6667 0.3333 0.2500
0.3333 0.6667 0.7500
0.7768 0.2232 0.7500
0.5537 0.7768 0.2500
0.2232 0.7768 0.2500
0.4463 0.2232 0.7500
0.7768 0.5537 0.7500
0.2232 0.4463 0.2500
```

Properties
- space group = P6_3/mmc, No. 194
- relative energy among the computed polymorphs (eV/f.u.) = 0.17


Compound: AcLu2Cu
Source: Alexandria via LeMat-Bulk
Functional: PBE-GGA
Structure: optimized geometry

```
AcLu2Cu
1.0
3.7660 0.0000 0.0000
1.8830 3.2614 0.0000
1.8830 1.0871 9.6806
Ac Lu Cu
1 2 1
direct
0.5000 0.5000 0.5000
0.2731 0.2731 0.1806
0.7269 0.7269 0.8194
0.0000 0.0000 0.0000
```

Properties
- space group = R-3m, No. 166
- relative energy among the computed polymorphs (eV/f.u.) = 0.41


no.,E (eV/f.u.)
1,-29.6
2,-78.4
3,-137.0
4,-39.7
5,-46.0
6,-39.9
7,-41.9
8,-30.4
9,-21.2
10,-15.2
11,-47.0
12,-41.7
13,-20.0
14,-24.6
15,-87.1
16,-13.3
17,-54.9
18,-39.7
19,-14.9
20,-17.1